Record 1
# SmEr2Th4

An optimized crystal structure of SmEr2Th4 (PBE-GGA, Alexandria via LeMat-Bulk).

Cell and atoms, written as POSCAR:
```
SmEr2Th4
1.0
-5.403 -3.063 2.873
6.349 -2.392 0.893
1.213 6.765 9.487
Sm Er Th
2 4 8
direct
0.160 0.840 0.750
0.840 0.160 0.250
0.499 0.501 0.750
0.131 0.869 0.250
0.869 0.131 0.750
0.501 0.499 0.250
0.274 0.726 0.489
0.769 0.770 0.000
0.231 0.230 0.000
0.726 0.274 0.989
0.770 0.769 0.500
0.726 0.274 0.511
0.230 0.231 0.500
0.274 0.726 0.011
```

Output
mass density	10.02	g cm⁻³
formation energy	0.23	eV/atom
E_tot	-5.991	eV per atom

---

Record 2
# RbTl2RhCl6

An optimized crystal structure of RbTl2RhCl6 (PBE-GGA, Alexandria via LeMat-Bulk).

Cell and atoms, written as POSCAR:
```
RbTl2RhCl6
1.0
-1.251 -6.487 -2.614
7.743 -2.109 1.527
-2.883 -3.664 9.555
Rb Rh Tl Cl
2 2 4 12
direct
0.500 0.000 0.000
0.000 0.500 0.500
0.500 0.000 0.500
0.000 0.500 0.000
0.023 0.949 0.266
0.523 0.551 0.766
0.477 0.449 0.234
0.977 0.051 0.734
0.654 0.236 0.579
0.154 0.264 0.079
0.599 0.076 0.293
0.346 0.764 0.421
0.719 0.347 0.981
0.846 0.736 0.921
0.099 0.424 0.793
0.401 0.924 0.707
0.781 0.847 0.519
0.219 0.153 0.481
0.281 0.653 0.019
0.901 0.576 0.207
```

Output
mass density	4.36	g cm⁻³
E_tot	-3.459	eV per atom

---

| no. | M_tot (μB/cell) |
| --- | --- |
| 1 | 0.0 |
| 2 | 0.0 |